Here is a PBEsol-optimized structure of Cs2RbLuCl6 from Alexandria via LeMat-Bulk. Energies are from SCAN.

CIF file:
```
data_Cs2RbLuCl6
_cell_length_a 7.913
_cell_length_b 7.913
_cell_length_c 7.913
_cell_angle_alpha 60.00
_cell_angle_beta 60.00
_cell_angle_gamma 60.00
_space_group_name_H-M_alt 'P 1'
_space_group_IT_number 1
_space_group_name_Hall 'P 1'
loop_
_atom_site_label
_atom_site_type_symbol
_atom_site_fract_x
_atom_site_fract_y
_atom_site_fract_z
Cs1 Cs 0.250 0.250 0.250
Cs2 Cs 0.750 0.750 0.750
Rb1 Rb 0.000 0.000 0.000
Lu1 Lu 0.500 0.500 0.500
Cl1 Cl 0.273 0.273 0.727
Cl2 Cl 0.273 0.727 0.273
Cl3 Cl 0.273 0.727 0.727
Cl4 Cl 0.727 0.273 0.273
Cl5 Cl 0.727 0.273 0.727
Cl6 Cl 0.727 0.727 0.273
```

space-group type = Fm-3m
density of states at the Fermi level = 0.00 states/eV/f.u.
final energy = -223.48 eV per cell

---

Here is a PBEsol-optimized structure of Cd3H2CSeO8 from Alexandria via LeMat-Bulk. Energies are from SCAN.

CIF file:
```
data_Cd3H2CSeO8
_cell_length_a 6.524
_cell_length_b 10.483
_cell_length_c 10.409
_cell_angle_alpha 90.00
_cell_angle_beta 90.00
_cell_angle_gamma 90.00
_space_group_name_H-M_alt 'P 1'
_space_group_IT_number 1
_space_group_name_Hall 'P 1'
loop_
_atom_site_label
_atom_site_type_symbol
_atom_site_fract_x
_atom_site_fract_y
_atom_site_fract_z
Cd1 Cd 0.032 0.046 0.166
Cd2 Cd 0.032 0.454 0.166
Cd3 Cd 0.246 0.250 0.875
Cd4 Cd 0.254 0.750 0.375
Cd5 Cd 0.468 0.546 0.666
Cd6 Cd 0.468 0.954 0.666
Cd7 Cd 0.532 0.046 0.334
Cd8 Cd 0.532 0.454 0.334
Cd9 Cd 0.746 0.250 0.625
Cd10 Cd 0.754 0.750 0.125
Cd11 Cd 0.968 0.546 0.834
Cd12 Cd 0.968 0.954 0.834
H1 H 0.139 0.508 0.404
H2 H 0.139 0.992 0.404
H3 H 0.361 0.008 0.904
H4 H 0.361 0.492 0.904
H5 H 0.639 0.508 0.096
H6 H 0.639 0.992 0.096
H7 H 0.861 0.008 0.596
H8 H 0.861 0.492 0.596
C1 C 0.121 0.750 0.646
C2 C 0.379 0.250 0.146
C3 C 0.621 0.750 0.854
C4 C 0.879 0.250 0.354
Se1 Se 0.249 0.750 0.024
Se2 Se 0.251 0.250 0.524
Se3 Se 0.749 0.750 0.476
Se4 Se 0.751 0.250 0.976
O1 O 0.044 0.750 0.762
O2 O 0.070 0.629 0.039
O3 O 0.070 0.871 0.039
O4 O 0.118 0.250 0.664
O5 O 0.157 0.643 0.588
O6 O 0.157 0.857 0.588
O7 O 0.211 0.536 0.326
O8 O 0.211 0.964 0.326
O9 O 0.289 0.036 0.826
O10 O 0.289 0.464 0.826
O11 O 0.343 0.143 0.088
O12 O 0.343 0.357 0.088
O13 O 0.382 0.750 0.164
O14 O 0.430 0.129 0.539
O15 O 0.430 0.371 0.539
O16 O 0.456 0.250 0.262
O17 O 0.544 0.750 0.738
O18 O 0.570 0.629 0.461
O19 O 0.570 0.871 0.461
O20 O 0.618 0.250 0.836
O21 O 0.657 0.643 0.912
O22 O 0.657 0.857 0.912
O23 O 0.711 0.536 0.174
O24 O 0.711 0.964 0.174
O25 O 0.789 0.036 0.674
O26 O 0.789 0.464 0.674
O27 O 0.843 0.143 0.412
O28 O 0.843 0.357 0.412
O29 O 0.882 0.750 0.336
O30 O 0.930 0.129 0.961
O31 O 0.930 0.371 0.961
O32 O 0.956 0.250 0.238
```

space-group type = Pnma
density of states at the Fermi level = 0.00 states/eV/f.u.
final energy = -788.73 eV per cell

---

Here is a PBEsol-optimized structure of FeHg2Pb from Alexandria via LeMat-Bulk. Energies are from SCAN.

CIF file:
```
data_FeHg2Pb
_cell_length_a 3.128
_cell_length_b 3.128
_cell_length_c 8.504
_cell_angle_alpha 90.00
_cell_angle_beta 90.00
_cell_angle_gamma 90.00
_space_group_name_H-M_alt 'P 1'
_space_group_IT_number 1
_space_group_name_Hall 'P 1'
loop_
_atom_site_label
_atom_site_type_symbol
_atom_site_fract_x
_atom_site_fract_y
_atom_site_fract_z
Fe1 Fe 0.000 0.000 0.000
Hg1 Hg 0.500 0.500 0.198
Hg2 Hg 0.500 0.500 0.802
Pb1 Pb 0.000 0.000 0.500
```

space-group type = P4/mmm
density of states at the Fermi level = 1.95 states/eV/f.u.
final energy = -229.09 eV per cell
formation energy = 0.289 eV per atom

---

Here is a PBEsol-optimized structure of NaRePt3 from Alexandria via LeMat-Bulk. Energies are from SCAN.

CIF file:
```
data_NaRePt3
_cell_length_a 4.814
_cell_length_b 4.814
_cell_length_c 4.814
_cell_angle_alpha 90.00
_cell_angle_beta 90.00
_cell_angle_gamma 90.00
_space_group_name_H-M_alt 'P 1'
_space_group_IT_number 1
_space_group_name_Hall 'P 1'
loop_
_atom_site_label
_atom_site_type_symbol
_atom_site_fract_x
_atom_site_fract_y
_atom_site_fract_z
Na1 Na 0.000 0.000 0.000
Re1 Re 0.500 0.500 0.500
Pt1 Pt 0.000 0.500 0.500
Pt2 Pt 0.500 0.000 0.500
Pt3 Pt 0.500 0.500 0.000
```

space-group type = Pm-3m
density of states at the Fermi level = 4.21 states/eV/f.u.
final energy = -282.26 eV per cell
formation energy = 0.727 eV per atom

---

Here is a PBEsol-optimized structure of Zr2ScAu from Alexandria via LeMat-Bulk. Energies are from SCAN.

CIF file:
```
data_Zr2ScAu
_cell_length_a 5.582
_cell_length_b 5.582
_cell_length_c 3.126
_cell_angle_alpha 99.35
_cell_angle_beta 99.35
_cell_angle_gamma 119.14
_space_group_name_H-M_alt 'P 1'
_space_group_IT_number 1
_space_group_name_Hall 'P 1'
loop_
_atom_site_label
_atom_site_type_symbol
_atom_site_fract_x
_atom_site_fract_y
_atom_site_fract_z
Zr1 Zr 0.000 0.500 0.000
Zr2 Zr 0.500 0.000 0.000
Sc1 Sc 0.000 0.000 0.500
Au1 Au 0.500 0.500 0.500
```

space-group type = C2/m
density of states at the Fermi level = 5.08 states/eV/f.u.
final energy = -145.82 eV per cell
formation energy = -0.258 eV per atom

---

Here is a PBEsol-optimized structure of AlFeOs2 from Alexandria via LeMat-Bulk. Energies are from SCAN.

CIF file:
```
data_AlFeOs2
_cell_length_a 4.182
_cell_length_b 4.182
_cell_length_c 2.961
_cell_angle_alpha 90.00
_cell_angle_beta 90.00
_cell_angle_gamma 90.00
_space_group_name_H-M_alt 'P 1'
_space_group_IT_number 1
_space_group_name_Hall 'P 1'
loop_
_atom_site_label
_atom_site_type_symbol
_atom_site_fract_x
_atom_site_fract_y
_atom_site_fract_z
Al1 Al 0.000 0.000 0.000
Fe1 Fe 0.500 0.500 0.000
Os1 Os 0.000 0.500 0.500
Os2 Os 0.500 0.000 0.500
```

space-group type = P4/mmm
density of states at the Fermi level = 1.98 states/eV/f.u.
final energy = -170.98 eV per cell
formation energy = -0.334 eV per atom

---

Here is a PBEsol-optimized structure of TlCo3Ge from Alexandria via LeMat-Bulk. Energies are from SCAN.

CIF file:
```
data_TlCo3Ge
_cell_length_a 4.282
_cell_length_b 4.282
_cell_length_c 4.282
_cell_angle_alpha 90.00
_cell_angle_beta 90.00
_cell_angle_gamma 90.00
_space_group_name_H-M_alt 'P 1'
_space_group_IT_number 1
_space_group_name_Hall 'P 1'
loop_
_atom_site_label
_atom_site_type_symbol
_atom_site_fract_x
_atom_site_fract_y
_atom_site_fract_z
Tl1 Tl 0.000 0.000 0.000
Co1 Co 0.000 0.500 0.500
Co2 Co 0.500 0.000 0.500
Co3 Co 0.500 0.500 0.000
Ge1 Ge 0.500 0.500 0.500
```

space-group type = Pm-3m
density of states at the Fermi level = 4.89 states/eV/f.u.
final energy = -139.20 eV per cell
formation energy = 0.832 eV per atom

---

Here is a PBEsol-optimized structure of ScTc2Ir from Alexandria via LeMat-Bulk. Energies are from SCAN.

CIF file:
```
data_ScTc2Ir
_cell_length_a 5.005
_cell_length_b 5.005
_cell_length_c 5.005
_cell_angle_alpha 135.66
_cell_angle_beta 135.66
_cell_angle_gamma 64.50
_space_group_name_H-M_alt 'P 1'
_space_group_IT_number 1
_space_group_name_Hall 'P 1'
loop_
_atom_site_label
_atom_site_type_symbol
_atom_site_fract_x
_atom_site_fract_y
_atom_site_fract_z
Sc1 Sc 0.000 0.000 0.000
Tc1 Tc 0.250 0.750 0.500
Tc2 Tc 0.750 0.250 0.500
Ir1 Ir 0.500 0.500 0.000
```

energy above the lowest structure with this stoichiometry = 0.285 eV/f.u.
space-group type = I4/mmm
density of states at the Fermi level = 4.36 states/eV/f.u.
final energy = -156.33 eV per cell
formation energy = -0.219 eV per atom